Record 1
# PBE NaAcPa4N8, optimized geometry
data_NaAcPa4N8
_cell_length_a 7.1330
_cell_length_b 7.1330
_cell_length_c 16.6141
_cell_angle_alpha 90.00
_cell_angle_beta 90.00
_cell_angle_gamma 120.00
_space_group_name_H-M_alt 'R 3 m'
_space_group_IT_number 160
_space_group_name_Hall 'R 3 -2"'
loop_
_atom_site_label
_atom_site_type_symbol
_atom_site_fract_x
_atom_site_fract_y
_atom_site_fract_z
Na1 Na 0.0000 0.0000 0.0000
Ac1 Ac 0.0000 0.0000 0.3807
Pa1 Pa 0.0000 0.0000 0.6096
Pa2 Pa 0.1689 0.3379 0.8315
N1 N 0.0000 0.0000 0.2303
N2 N 0.0000 0.0000 0.7543
N3 N 0.0369 0.5184 0.7704
N4 N 0.1690 0.3380 0.5716
# Formation energy without anion corrections, eV per atom: -1.3674
# M_tot, μB/f.u.: 0.0

Record 2
# PBE NaAcPu4N8, optimized geometry
data_NaAcPu4N8
_cell_length_a 6.9270
_cell_length_b 6.9270
_cell_length_c 16.4234
_cell_angle_alpha 90.00
_cell_angle_beta 90.00
_cell_angle_gamma 120.00
_space_group_name_H-M_alt 'R 3 m'
_space_group_IT_number 160
_space_group_name_Hall 'R 3 -2"'
loop_
_atom_site_label
_atom_site_type_symbol
_atom_site_fract_x
_atom_site_fract_y
_atom_site_fract_z
Na1 Na 0.0000 0.0000 0.0000
Ac1 Ac 0.0000 0.0000 0.3881
Pu1 Pu 0.0000 0.0000 0.6190
Pu2 Pu 0.1681 0.3363 0.8357
N1 N 0.0000 0.0000 0.2339
N2 N 0.0000 0.0000 0.7632
N3 N 0.0514 0.5257 0.7722
N4 N 0.1748 0.3496 0.5669
# DOS at the Fermi energy, states/eV per cell: 75.8
# Formation energy without anion corrections, eV per atom: -0.8632
# M_tot, μB/f.u.: 12.0

Record 3
# PBE NaAcPuN3, optimized geometry
data_NaAcPuN3
_cell_length_a 5.622
_cell_length_b 12.737
_cell_length_c 5.771
_cell_angle_alpha 90.00
_cell_angle_beta 100.45
_cell_angle_gamma 90.00
_space_group_name_H-M_alt 'C 1 2/c 1'
_space_group_IT_number 15
loop_
_space_group_symop_operation_xyz
'x,y,z'
'-x,-y,-z'
'-x,y,-z+1/2'
'x,-y,z+1/2'
'x+1/2,y+1/2,z'
'-x+1/2,-y+1/2,-z'
'-x+1/2,y+1/2,-z+1/2'
'x+1/2,-y+1/2,z+1/2'
loop_
_atom_site_label
_atom_site_type_symbol
_atom_site_fract_x
_atom_site_fract_y
_atom_site_fract_z
Na1 Na 0.000 0.066 0.250
Ac1 Ac 0.000 0.256 0.750
Pu1 Pu 0.000 0.433 0.250
N1 N 0.000 0.260 0.250
N2 N 0.203 0.434 0.004
# DOS at the Fermi energy, states/eV per cell: 21.1
# Formation energy without anion corrections, eV per atom: -0.7673
# M_tot, μB/f.u.: 3.0

Record 4
# PBE NaAc2ReN4, optimized geometry
data_NaAc2ReN4
_cell_length_a 5.720
_cell_length_b 5.720
_cell_length_c 10.131
_cell_angle_alpha 90.00
_cell_angle_beta 90.00
_cell_angle_gamma 90.00
_space_group_name_H-M_alt 'I -4 2 m'
_space_group_IT_number 121
_space_group_name_Hall 'I -4 2'
loop_
_atom_site_label
_atom_site_type_symbol
_atom_site_fract_x
_atom_site_fract_y
_atom_site_fract_z
Na1 Na 0.000 0.000 0.000
Ac1 Ac 0.000 0.500 0.250
Re1 Re 0.000 0.000 0.500
N1 N 0.190 0.190 0.395
# DOS at the Fermi energy, states/eV per cell: 7.7
# Formation energy without anion corrections, eV per atom: -0.5915
# M_tot, μB/f.u.: 0.0

Record 5
# PBE NaAcRe2N5, optimized geometry
data_NaAcRe2N5
_cell_length_a 3.944
_cell_length_b 3.944
_cell_length_c 7.446
_cell_angle_alpha 90.00
_cell_angle_beta 90.00
_cell_angle_gamma 90.00
_space_group_name_H-M_alt 'P 4/m m m'
_space_group_IT_number 123
_space_group_name_Hall '-P 4 2'
loop_
_atom_site_label
_atom_site_type_symbol
_atom_site_fract_x
_atom_site_fract_y
_atom_site_fract_z
Na1 Na 0.000 0.000 0.000
Ac1 Ac 0.000 0.000 0.500
Re1 Re 0.500 0.500 0.238
N1 N 0.000 0.500 0.221
N2 N 0.500 0.500 0.500
# DOS at the Fermi energy, states/eV per cell: 2.5
# Formation energy without anion corrections, eV per atom: -0.3697
# M_tot, μB/f.u.: 0.0

Record 6
# PBE NaAc3Re2N6, optimized geometry
data_NaAc3Re2N6
_cell_length_a 6.0678
_cell_length_b 6.0678
_cell_length_c 6.9362
_cell_angle_alpha 90.00
_cell_angle_beta 90.00
_cell_angle_gamma 120.00
_space_group_name_H-M_alt 'P -3 m 1'
_space_group_IT_number 164
_space_group_name_Hall '-P 3 2"'
loop_
_atom_site_label
_atom_site_type_symbol
_atom_site_fract_x
_atom_site_fract_y
_atom_site_fract_z
Na1 Na 0.0000 0.0000 0.0000
Ac1 Ac 0.0000 0.0000 0.5000
Ac2 Ac 0.3333 0.6667 0.1956
Re1 Re 0.3333 0.6667 0.7002
N1 N 0.1686 0.3371 0.7787
# DOS at the Fermi energy, states/eV per cell: 5.5
# Formation energy without anion corrections, eV per atom: -0.6144
# M_tot, μB/f.u.: 0.0

Record 7
# PBE Na2AcReN4, optimized geometry
data_Na2AcReN4
_cell_length_a 6.080
_cell_length_b 6.080
_cell_length_c 6.827
_cell_angle_alpha 90.00
_cell_angle_beta 90.00
_cell_angle_gamma 90.00
_space_group_name_H-M_alt 'I -4 2 m'
_space_group_IT_number 121
_space_group_name_Hall 'I -4 2'
loop_
_atom_site_label
_atom_site_type_symbol
_atom_site_fract_x
_atom_site_fract_y
_atom_site_fract_z
Na1 Na 0.000 0.500 0.250
Ac1 Ac 0.000 0.000 0.000
Re1 Re 0.000 0.000 0.500
N1 N 0.172 0.172 0.339
# DOS at the Fermi energy, states/eV per cell: 0.0
# Formation energy without anion corrections, eV per atom: -0.5591
# M_tot, μB/f.u.: 0.0

Record 8
# PBE Na2AcRe2N6, optimized geometry
data_Na2AcRe2N6
_cell_length_a 10.575
_cell_length_b 6.394
_cell_length_c 7.211
_cell_angle_alpha 90.00
_cell_angle_beta 123.08
_cell_angle_gamma 90.00
_space_group_name_H-M_alt 'C 1 2/m 1'
_space_group_IT_number 12
loop_
_space_group_symop_operation_xyz
'x,y,z'
'-x,-y,-z'
'-x,y,-z'
'x,-y,z'
'x+1/2,y+1/2,z'
'-x+1/2,-y+1/2,-z'
'-x+1/2,y+1/2,-z'
'x+1/2,-y+1/2,z'
loop_
_atom_site_label
_atom_site_type_symbol
_atom_site_fract_x
_atom_site_fract_y
_atom_site_fract_z
Na1 Na 0.207 0.000 0.151
Ac1 Ac 0.000 0.000 0.500
Re1 Re 0.024 0.500 0.204
N1 N 0.075 0.269 0.805
N2 N 0.222 0.500 0.419
# DOS at the Fermi energy, states/eV per cell: 5.5
# Formation energy without anion corrections, eV per atom: -0.2301
# M_tot, μB/f.u.: 1.0

Record 9
# PBE NaAc2SiN4, optimized geometry
data_NaAc2SiN4
_cell_length_a 5.890
_cell_length_b 5.890
_cell_length_c 8.419
_cell_angle_alpha 90.00
_cell_angle_beta 90.00
_cell_angle_gamma 90.00
_space_group_name_H-M_alt 'I -4 2 m'
_space_group_IT_number 121
_space_group_name_Hall 'I -4 2'
loop_
_atom_site_label
_atom_site_type_symbol
_atom_site_fract_x
_atom_site_fract_y
_atom_site_fract_z
Na1 Na 0.000 0.000 0.000
Ac1 Ac 0.000 0.500 0.250
Si1 Si 0.000 0.000 0.500
N1 N 0.187 0.187 0.602
# DOS at the Fermi energy, states/eV per cell: 9.5
# Formation energy without anion corrections, eV per atom: -0.7635
# M_tot, μB/f.u.: 1.0

Record 10
# PBE NaAcTaN3, optimized geometry
data_NaAcTaN3
_cell_length_a 5.811
_cell_length_b 11.516
_cell_length_c 5.631
_cell_angle_alpha 90.00
_cell_angle_beta 102.68
_cell_angle_gamma 90.00
_space_group_name_H-M_alt 'C 1 2/c 1'
_space_group_IT_number 15
loop_
_space_group_symop_operation_xyz
'x,y,z'
'-x,-y,-z'
'-x,y,-z+1/2'
'x,-y,z+1/2'
'x+1/2,y+1/2,z'
'-x+1/2,-y+1/2,-z'
'-x+1/2,y+1/2,-z+1/2'
'x+1/2,-y+1/2,z+1/2'
loop_
_atom_site_label
_atom_site_type_symbol
_atom_site_fract_x
_atom_site_fract_y
_atom_site_fract_z
Na1 Na 0.000 0.067 0.250
Ac1 Ac 0.000 0.245 0.750
Ta1 Ta 0.000 0.451 0.250
N1 N 0.000 0.276 0.250
N2 N 0.209 0.443 0.984
# Formation energy without anion corrections, eV per atom: -0.9954
# M_tot, μB/f.u.: 0.0

Record 11
# PBE NaAc2TcN4, optimized geometry
data_NaAc2TcN4
_cell_length_a 8.483
_cell_length_b 8.508
_cell_length_c 7.811
_cell_angle_alpha 90.00
_cell_angle_beta 90.00
_cell_angle_gamma 90.00
_space_group_name_H-M_alt 'F m m 2'
_space_group_IT_number 42
_space_group_name_Hall 'F 2 -2'
loop_
_atom_site_label
_atom_site_type_symbol
_atom_site_fract_x
_atom_site_fract_y
_atom_site_fract_z
Na1 Na 0.000 0.000 0.000
Ac1 Ac 0.250 0.250 0.250
Tc1 Tc 0.000 0.000 0.501
N1 N 0.000 0.216 0.428
N2 N 0.216 0.000 0.574
# DOS at the Fermi energy, states/eV per cell: 3.1
# Formation energy without anion corrections, eV per atom: -0.6294
# M_tot, μB/f.u.: 0.0

Record 12
# PBE NaAcTcN3, optimized geometry
data_NaAcTcN3
_cell_length_a 13.205
_cell_length_b 4.020
_cell_length_c 7.323
_cell_angle_alpha 90.00
_cell_angle_beta 107.77
_cell_angle_gamma 90.00
_space_group_name_H-M_alt 'C 1 2/m 1'
_space_group_IT_number 12
loop_
_space_group_symop_operation_xyz
'x,y,z'
'-x,-y,-z'
'-x,y,-z'
'x,-y,z'
'x+1/2,y+1/2,z'
'-x+1/2,-y+1/2,-z'
'-x+1/2,y+1/2,-z'
'x+1/2,-y+1/2,z'
loop_
_atom_site_label
_atom_site_type_symbol
_atom_site_fract_x
_atom_site_fract_y
_atom_site_fract_z
Na1 Na 0.158 0.000 0.076
Ac1 Ac 0.146 0.000 0.577
Tc1 Tc 0.002 0.500 0.199
N1 N 0.007 0.000 0.213
N2 N 0.139 0.500 0.807
N3 N 0.153 0.500 0.357
# DOS at the Fermi energy, states/eV per cell: 3.9
# Formation energy without anion corrections, eV per atom: -0.3966
# M_tot, μB/f.u.: 0.0

Record 13
# PBE Na2AcTcN4, optimized geometry
data_Na2AcTcN4
_cell_length_a 7.238
_cell_length_b 6.842
_cell_length_c 5.770
_cell_angle_alpha 90.00
_cell_angle_beta 90.00
_cell_angle_gamma 90.00
_space_group_name_H-M_alt 'P m n 21'
_space_group_IT_number 31
loop_
_space_group_symop_operation_xyz
'x,y,z'
'-x+1/2,-y,z+1/2'
'-x,y,z'
'x+1/2,-y,z+1/2'
loop_
_atom_site_label
_atom_site_type_symbol
_atom_site_fract_x
_atom_site_fract_y
_atom_site_fract_z
Na1 Na 0.241 0.140 0.000
Ac1 Ac 0.000 0.388 0.491
Tc1 Tc 0.000 0.687 0.017
N1 N 0.000 0.421 0.965
N2 N 0.000 0.712 0.329
N3 N 0.211 0.799 0.903
# DOS at the Fermi energy, states/eV per cell: 0.0
# Formation energy without anion corrections, eV per atom: -0.4817
# M_tot, μB/f.u.: 0.0

Record 14
# PBE Na2Ac4Te3N2, optimized geometry
data_Na2Ac4Te3N2
_cell_length_a 5.166
_cell_length_b 5.166
_cell_length_c 25.839
_cell_angle_alpha 90.00
_cell_angle_beta 90.00
_cell_angle_gamma 90.00
_space_group_name_H-M_alt 'I 4/m m m'
_space_group_IT_number 139
_space_group_name_Hall '-I 4 2'
loop_
_atom_site_label
_atom_site_type_symbol
_atom_site_fract_x
_atom_site_fract_y
_atom_site_fract_z
Na1 Na 0.000 0.000 0.198
Ac1 Ac 0.000 0.500 0.090
Te1 Te 0.000 0.000 0.320
Te2 Te 0.000 0.000 0.500
N1 N 0.000 0.000 0.102
# DOS at the Fermi energy, states/eV per cell: 4.9
# Formation energy without anion corrections, eV per atom: -1.0346
# M_tot, μB/f.u.: 0.0

Record 15
# PBE NaAcU4N8, optimized geometry
data_NaAcU4N8
_cell_length_a 7.0145
_cell_length_b 7.0145
_cell_length_c 16.3842
_cell_angle_alpha 90.00
_cell_angle_beta 90.00
_cell_angle_gamma 120.00
_space_group_name_H-M_alt 'R 3 m'
_space_group_IT_number 160
_space_group_name_Hall 'R 3 -2"'
loop_
_atom_site_label
_atom_site_type_symbol
_atom_site_fract_x
_atom_site_fract_y
_atom_site_fract_z
Na1 Na 0.0000 0.0000 0.0000
Ac1 Ac 0.0000 0.0000 0.3901
U1 U 0.0000 0.0000 0.6189
U2 U 0.1688 0.3376 0.8351
N1 N 0.0000 0.0000 0.2339
N2 N 0.0000 0.0000 0.7601
N3 N 0.0519 0.5259 0.7717
N4 N 0.1723 0.3445 0.5670
# DOS at the Fermi energy, states/eV per cell: 36.2
# Formation energy without anion corrections, eV per atom: -1.1388
# M_tot, μB/f.u.: 4.0

Record 16
# PBE NaAc2UN4, optimized geometry
data_NaAc2UN4
_cell_length_a 7.505
_cell_length_b 10.529
_cell_length_c 7.494
_cell_angle_alpha 90.00
_cell_angle_beta 90.00
_cell_angle_gamma 90.00
_space_group_name_H-M_alt 'F m m 2'
_space_group_IT_number 42
_space_group_name_Hall 'F 2 -2'
loop_
_atom_site_label
_atom_site_type_symbol
_atom_site_fract_x
_atom_site_fract_y
_atom_site_fract_z
Na1 Na 0.000 0.000 0.000
Ac1 Ac 0.250 0.250 0.241
U1 U 0.000 0.000 0.476
N1 N 0.000 0.201 0.489
N2 N 0.220 0.000 0.289
# DOS at the Fermi energy, states/eV per cell: 12.7
# Formation energy without anion corrections, eV per atom: -1.0220
# M_tot, μB/f.u.: 0.7

Record 17
# PBE NaAc2W2N6, optimized geometry
data_NaAc2W2N6
_cell_length_a 6.774
_cell_length_b 6.786
_cell_length_c 7.133
_cell_angle_alpha 102.10
_cell_angle_beta 113.73
_cell_angle_gamma 110.82
_space_group_name_H-M_alt 'P -1'
_space_group_IT_number 2
loop_
_space_group_symop_operation_xyz
'x,y,z'
'-x,-y,-z'
loop_
_atom_site_label
_atom_site_type_symbol
_atom_site_fract_x
_atom_site_fract_y
_atom_site_fract_z
Na1 Na 0.000 0.000 0.000
Ac1 Ac 0.385 0.303 0.688
W1 W 0.072 0.643 0.713
N1 N 0.147 0.922 0.693
N2 N 0.228 0.450 0.305
N3 N 0.314 0.587 0.901
# DOS at the Fermi energy, states/eV per cell: 6.5
# Formation energy without anion corrections, eV per atom: -0.4938
# M_tot, μB/f.u.: 0.3

Record 18
# PBE NaAc2WN4, optimized geometry
data_NaAc2WN4
_cell_length_a 6.100
_cell_length_b 6.100
_cell_length_c 8.626
_cell_angle_alpha 90.00
_cell_angle_beta 90.00
_cell_angle_gamma 90.00
_space_group_name_H-M_alt 'I -4 2 m'
_space_group_IT_number 121
_space_group_name_Hall 'I -4 2'
loop_
_atom_site_label
_atom_site_type_symbol
_atom_site_fract_x
_atom_site_fract_y
_atom_site_fract_z
Na1 Na 0.000 0.000 0.000
Ac1 Ac 0.000 0.500 0.250
W1 W 0.000 0.000 0.500
N1 N 0.194 0.194 0.392
# DOS at the Fermi energy, states/eV per cell: 3.1
# Formation energy without anion corrections, eV per atom: -0.8250
# M_tot, μB/f.u.: 0.0

Record 19
# PBE Na2AcWN4, optimized geometry
data_Na2AcWN4
_cell_length_a 5.975
_cell_length_b 5.975
_cell_length_c 7.104
_cell_angle_alpha 90.00
_cell_angle_beta 90.00
_cell_angle_gamma 90.00
_space_group_name_H-M_alt 'I -4 2 m'
_space_group_IT_number 121
_space_group_name_Hall 'I -4 2'
loop_
_atom_site_label
_atom_site_type_symbol
_atom_site_fract_x
_atom_site_fract_y
_atom_site_fract_z
Na1 Na 0.000 0.500 0.250
Ac1 Ac 0.000 0.000 0.000
W1 W 0.000 0.000 0.500
N1 N 0.185 0.185 0.650
# DOS at the Fermi energy, states/eV per cell: 7.2
# Formation energy without anion corrections, eV per atom: -0.4782
# M_tot, μB/f.u.: 1.0

Record 20
# PBE NaAcWN3, optimized geometry
data_NaAcWN3
_cell_length_a 13.181
_cell_length_b 4.072
_cell_length_c 7.590
_cell_angle_alpha 90.00
_cell_angle_beta 108.13
_cell_angle_gamma 90.00
_space_group_name_H-M_alt 'C 1 2/m 1'
_space_group_IT_number 12
loop_
_space_group_symop_operation_xyz
'x,y,z'
'-x,-y,-z'
'-x,y,-z'
'x,-y,z'
'x+1/2,y+1/2,z'
'-x+1/2,-y+1/2,-z'
'-x+1/2,y+1/2,-z'
'x+1/2,-y+1/2,z'
loop_
_atom_site_label
_atom_site_type_symbol
_atom_site_fract_x
_atom_site_fract_y
_atom_site_fract_z
Na1 Na 0.162 0.000 0.069
Ac1 Ac 0.149 0.000 0.581
W1 W 0.005 0.500 0.195
N1 N 0.009 0.000 0.208
N2 N 0.137 0.500 0.795
N3 N 0.152 0.500 0.367
# DOS at the Fermi energy, states/eV per cell: 8.2
# Formation energy without anion corrections, eV per atom: -0.5949
# M_tot, μB/f.u.: 0.0